(1)
# AgHgO, relaxed, DFT PBE
# - Formation energy from raw total energies: -58 meV/atom
# - Energy above the most stable polymorph in this dataset: 0 meV per atom
data_AgHgO
_cell_length_a 10.289
_cell_length_b 5.636
_cell_length_c 4.247
_cell_angle_alpha 90.00
_cell_angle_beta 100.82
_cell_angle_gamma 90.00
_space_group_name_H-M_alt 'C 1 2/m 1'
_space_group_IT_number 12
_space_group_name_Hall '-C 2y'
loop_
_atom_site_label
_atom_site_fract_x
_atom_site_fract_y
_atom_site_fract_z
Ag1 0.127 0.000 0.378
Hg1 0.129 0.500 0.037
O1 0.158 0.000 0.889

***

(2)
# AgHgO2, relaxed, DFT PBE
# - Formation energy from raw total energies: -156 meV/atom
data_AgHgO2
_cell_length_a 4.095
_cell_length_b 5.439
_cell_length_c 5.941
_cell_angle_alpha 93.96
_cell_angle_beta 96.05
_cell_angle_gamma 90.76
_space_group_name_H-M_alt 'P -1'
_space_group_IT_number 2
_space_group_name_Hall '-P 1'
loop_
_atom_site_label
_atom_site_fract_x
_atom_site_fract_y
_atom_site_fract_z
Ag1 0.000 0.000 0.000
Ag2 0.000 0.500 0.500
Hg1 0.500 0.000 0.500
Hg2 0.500 0.500 0.000
O1 0.152 0.285 0.791
O2 0.221 0.223 0.290

***

(3)
# Ag5Hg2O4, relaxed, DFT PBE
# - Formation energy from raw total energies: 79 meV/atom
data_Ag5Hg2O4
_cell_length_a 3.079
_cell_length_b 5.796
_cell_length_c 23.710
_cell_angle_alpha 90.00
_cell_angle_beta 90.00
_cell_angle_gamma 90.00
_space_group_name_H-M_alt 'I m m m'
_space_group_IT_number 71
_space_group_name_Hall '-I 2 2'
loop_
_atom_site_label
_atom_site_fract_x
_atom_site_fract_y
_atom_site_fract_z
Ag1 0.000 0.000 0.000
Ag2 0.000 0.253 0.300
Hg1 0.000 0.500 0.065
O1 0.000 0.242 0.500
O2 0.000 0.500 0.156

***

(4)
# AgHg3O4, relaxed, DFT PBE
# - Formation energy from raw total energies: -77 meV/atom
data_AgHg3O4
_cell_length_a 4.722
_cell_length_b 7.989
_cell_length_c 7.253
_cell_angle_alpha 90.00
_cell_angle_beta 90.00
_cell_angle_gamma 90.00
_space_group_name_H-M_alt 'P m m n'
_space_group_IT_number 59
loop_
_space_group_symop_operation_xyz
'x,y,z'
'-x,-y,-z'
'-x+1/2,-y+1/2,z'
'x+1/2,y+1/2,-z'
'x+1/2,-y,-z'
'-x+1/2,y,z'
'-x,y+1/2,-z'
'x,-y+1/2,z'
loop_
_atom_site_label
_atom_site_fract_x
_atom_site_fract_y
_atom_site_fract_z
Ag1 0.250 0.250 0.142
Hg1 0.250 0.513 0.665
Hg2 0.250 0.750 0.185
O1 0.250 0.011 0.341
O2 0.250 0.250 0.831
O3 0.250 0.750 0.856

***

(5)
# AgHgO, relaxed, DFT PBE
# - Formation energy from raw total energies: 89 meV/atom
# - Energy above the most stable polymorph in this dataset: 147 meV per atom
data_AgHgO
_cell_length_a 3.037
_cell_length_b 3.037
_cell_length_c 9.956
_cell_angle_alpha 90.00
_cell_angle_beta 90.00
_cell_angle_gamma 90.00
_space_group_name_H-M_alt 'I 4 m m'
_space_group_IT_number 107
_space_group_name_Hall 'I 4 -2'
loop_
_atom_site_label
_atom_site_fract_x
_atom_site_fract_y
_atom_site_fract_z
Ag1 0.000 0.000 0.000
Hg1 0.000 0.000 0.290
O1 0.000 0.000 0.650

***

(6)
# AgHg2PO4, relaxed, DFT PBE
# - Formation energy from raw total energies: -980 meV/atom
# - Energy above the most stable polymorph in this dataset: 180 meV per atom
data_AgHg2PO4
_cell_length_a 6.477
_cell_length_b 7.241
_cell_length_c 11.015
_cell_angle_alpha 90.00
_cell_angle_beta 90.00
_cell_angle_gamma 90.00
_space_group_name_H-M_alt 'F m m 2'
_space_group_IT_number 42
_space_group_name_Hall 'F 2 -2'
loop_
_atom_site_label
_atom_site_fract_x
_atom_site_fract_y
_atom_site_fract_z
Ag1 0.000 0.000 0.000
Hg1 0.250 0.250 0.302
P1 0.000 0.000 0.562
O1 0.000 0.175 0.480
O2 0.199 0.000 0.644